1.
Computed, not measured: a geometry-optimized PmPa2N3 structure at the PBE level of DFT.

Geometry as POSCAR:
```
PmPa2N3
1.0
5.8921 0.0000 0.0000
-2.9460 5.1027 0.0000
0.0000 0.0000 3.3533
Pm Pa N
1 2 3
direct
0.0000 0.0000 0.0000
0.3333 0.6667 0.5000
0.6667 0.3333 0.5000
0.0000 0.5000 0.0000
0.5000 0.0000 0.0000
0.5000 0.5000 0.0000
```

Summary:
- Energy above the lowest structure with this stoichiometry: 0.199 eV per atom
- V: 16.8 Å³ per atom
- Total moment: 0.00 μB/f.u.
- SG: P6/mmm, No. 191
- Uncorrected formation energy: -1384 meV/atom
- DFT total energy: -0.6985 Ry per atom

2.
Computed, not measured: a geometry-optimized Pm2PaN4 structure at the PBE level of DFT.

Geometry as POSCAR:
```
Pm2PaN4
1.0
6.0428 0.0000 0.0000
0.0000 10.0484 0.0000
0.0000 0.0000 3.6337
Pm Pa N
4 2 8
direct
0.0616 0.1750 0.0000
0.4384 0.6750 0.0000
0.5616 0.3250 0.0000
0.9384 0.8250 0.0000
0.0000 0.5000 0.5000
0.5000 0.0000 0.5000
0.1494 0.6968 0.5000
0.2325 0.4587 0.0000
0.2675 0.9587 0.0000
0.3506 0.1968 0.5000
0.6494 0.8032 0.5000
0.7325 0.0413 0.0000
0.7675 0.5413 0.0000
0.8506 0.3032 0.5000
```

Summary:
- V: 15.8 Å³ per atom
- Total moment: 0.77 μB/f.u.
- SG: Pbam, No. 55
- Uncorrected formation energy: -1393 meV/atom
- DFT total energy: -0.6515 Ry per atom

3.
Computed, not measured: a geometry-optimized PmPa3N6 structure at the PBE level of DFT.

Geometry as POSCAR:
```
PmPa3N6
1.0
9.2738 0.0000 0.0000
0.0000 3.5858 0.0000
-2.4209 0.0000 9.0598
Pm Pa N
2 6 12
direct
0.0704 0.2500 0.1806
0.9296 0.7500 0.8194
0.1701 0.2500 0.5834
0.3152 0.7500 0.9774
0.4685 0.2500 0.3220
0.5315 0.7500 0.6780
0.6848 0.2500 0.0226
0.8299 0.7500 0.4166
0.0734 0.7500 0.4189
0.1218 0.2500 0.9344
0.2714 0.7500 0.7192
0.3003 0.7500 0.2190
0.4050 0.2500 0.5484
0.4483 0.2500 0.0796
0.5517 0.7500 0.9204
0.5950 0.7500 0.4516
0.6997 0.2500 0.7810
0.7286 0.2500 0.2808
0.8782 0.7500 0.0656
0.9266 0.2500 0.5811
```

Summary:
- V: 15.1 Å³ per atom
- Total moment: 0.00 μB/f.u.
- SG: P2_1/m, No. 11
- Uncorrected formation energy: -1644 meV/atom
- DFT total energy: -0.7323 Ry per atom

4.
Computed, not measured: a geometry-optimized Pm3Pa5N12 structure at the PBE level of DFT.

Geometry as POSCAR:
```
Pm3Pa5N12
1.0
-7.0073 7.0073 7.0073
7.0073 -7.0073 7.0073
7.0073 7.0073 -7.0073
Pm Pa N
12 20 48
direct
0.1250 0.2500 0.3750
0.1250 0.3750 0.7500
0.2500 0.3750 0.1250
0.2500 0.8750 0.6250
0.3750 0.1250 0.2500
0.3750 0.7500 0.1250
0.6250 0.2500 0.8750
0.6250 0.8750 0.7500
0.7500 0.1250 0.3750
0.7500 0.6250 0.8750
0.8750 0.6250 0.2500
0.8750 0.7500 0.6250
0.0000 0.0000 0.0000
0.0000 0.0000 0.5000
0.0000 0.5000 0.0000
0.0000 0.5000 0.5000
0.1250 0.7500 0.8750
0.1250 0.8750 0.2500
0.2500 0.1250 0.8750
0.2500 0.6250 0.3750
0.3750 0.2500 0.6250
0.3750 0.6250 0.7500
0.5000 0.0000 0.0000
0.5000 0.0000 0.5000
0.5000 0.5000 0.0000
0.5000 0.5000 0.5000
0.6250 0.3750 0.2500
0.6250 0.7500 0.3750
0.7500 0.3750 0.6250
0.7500 0.8750 0.1250
0.8750 0.1250 0.7500
0.8750 0.2500 0.1250
0.0297 0.2023 0.1335
0.0297 0.3274 0.8962
0.0688 0.7023 0.6726
0.0688 0.8665 0.3962
0.1038 0.6335 0.4312
0.1038 0.9703 0.6726
0.1335 0.0297 0.2023
0.1335 0.6038 0.9312
0.1726 0.2023 0.5688
0.1726 0.4703 0.6038
0.2023 0.1335 0.0297
0.2023 0.5688 0.1726
0.2977 0.3274 0.9312
0.2977 0.4703 0.3665
0.3274 0.8962 0.0297
0.3274 0.9312 0.2977
0.3665 0.2977 0.4703
0.3665 0.5688 0.8962
0.3962 0.0688 0.8665
0.3962 0.8274 0.5297
0.4312 0.1038 0.6335
0.4312 0.8274 0.7977
0.4703 0.3665 0.2977
0.4703 0.6038 0.1726
0.5297 0.3962 0.8274
0.5297 0.6335 0.7023
0.5688 0.1726 0.2023
0.5688 0.8962 0.3665
0.6038 0.1726 0.4703
0.6038 0.9312 0.1335
0.6335 0.4312 0.1038
0.6335 0.7023 0.5297
0.6726 0.0688 0.7023
0.6726 0.1038 0.9703
0.7023 0.5297 0.6335
0.7023 0.6726 0.0688
0.7977 0.4312 0.8274
0.7977 0.8665 0.9703
0.8274 0.5297 0.3962
0.8274 0.7977 0.4312
0.8665 0.3962 0.0688
0.8665 0.9703 0.7977
0.8962 0.0297 0.3274
0.8962 0.3665 0.5688
0.9312 0.1335 0.6038
0.9312 0.2977 0.3274
0.9703 0.6726 0.1038
0.9703 0.7977 0.8665
```

Summary:
- V: 17.2 Å³ per atom
- Total moment: 0.00 μB/f.u.
- SG: Ia-3d, No. 230
- Uncorrected formation energy: -1268 meV/atom
- DFT total energy: -0.6872 Ry per atom